FeAgSnF6 after structural relaxation, computed with PBE with a Hubbard U.

Cell lengths 5.5806, 5.5806, 4.9937 Å; angles 90.14, 90.14, 119.26 degrees
With the nearest neighbours (Å) after each atom.
Positions (direct):
Fe1 0.0000 0.0000 0.0000  6 F 2.10-2.16
Ag1 0.3299 0.6701 0.0000  6 F 2.43-2.46
Sn1 0.6646 0.3354 0.5000  6 F 2.17-2.20
F1 0.3238 0.0466 0.7521  1 Fe 2.10, 1 Sn 2.20
F2 0.3284 0.2950 0.2492  1 Fe 2.16, 1 Sn 2.17
F3 0.7050 0.6716 0.7508  1 Fe 2.16, 1 Sn 2.17
F4 0.7103 0.0405 0.2438  1 Fe 2.12, 1 Sn 2.19
F5 0.9534 0.6762 0.2479  1 Fe 2.10, 1 Sn 2.20
F6 0.9595 0.2897 0.7562  1 Fe 2.12, 1 Sn 2.19

## Properties
Its magnetization is 3.6 μB/cell. The calculation puts the final energy at -41.90 eV for the cell shown.